(1)
First-principles (PBE-GGA) data for an optimized crystal structure of SrTcTe2, as listed in Alexandria via LeMat-Bulk.

It has space group R3m (No. 160, hexagonal axes), with a = 3.8074 Å, b = 3.8074 Å, c = 28.2107 Å, α = 90.00°, β = 90.00° and γ = 120.00°. The inequivalent atoms are Sr at (0.0000, 0.0000, 0.0000), Tc at (0.0000, 0.0000, 0.7537), Te at (0.0000, 0.0000, 0.2456) and Te at (0.0000, 0.0000, 0.4688).

(2)
First-principles (PBE-GGA) data for an optimized crystal structure of SrTcTe2, as listed in Alexandria via LeMat-Bulk.

It has space group P4mm (No. 99), with a = 4.413 Å, b = 4.413 Å, c = 6.358 Å, α = 90.00°, β = 90.00° and γ = 90.00°. The inequivalent atoms are Sr at (0.000, 0.000, 0.000), Tc at (0.500, 0.500, 0.506), Te at (0.000, 0.000, 0.497) and Te at (0.500, 0.500, 0.963).

Relative energies, in meV per atom, with the most stable structure set to zero: (1) 248; (2) 0.

(1)
First-principles (PBE-GGA) data for an optimized crystal structure of SrTcTe, as listed in Alexandria via LeMat-Bulk.

It has space group P-6m2 (No. 187), with a = 4.5454 Å, b = 4.5454 Å, c = 4.5981 Å, α = 90.00°, β = 90.00° and γ = 120.00°. The inequivalent atoms are Sr at (0.0000, 0.0000, 0.0000), Tc at (0.6667, 0.3333, 0.5000) and Te at (0.3333, 0.6667, 0.5000).

(2)
First-principles (PBE-GGA) data for an optimized crystal structure of SrTcTe, as listed in Alexandria via LeMat-Bulk.

It has space group I4mm (No. 107), with a = 3.504 Å, b = 3.504 Å, c = 12.020 Å, α = 90.00°, β = 90.00° and γ = 90.00°. The inequivalent atoms are Sr at (0.000, 0.000, 0.000), Tc at (0.000, 0.000, 0.692) and Te at (0.000, 0.000, 0.287).

(3)
First-principles (PBE-GGA) data for an optimized crystal structure of SrTcTe, as listed in Alexandria via LeMat-Bulk.

It has space group P4/nmm (No. 129, origin choice 2), with a = 4.481 Å, b = 4.481 Å, c = 8.292 Å, α = 90.00°, β = 90.00° and γ = 90.00°. The inequivalent atoms are Sr at (0.250, 0.250, 0.188), Tc at (0.250, 0.750, 0.500) and Te at (0.250, 0.250, 0.672).

Relative energies, in meV per atom, with the most stable structure set to zero: (1) 227; (2) 252; (3) 0.

(1)
First-principles (PBE-GGA) data for an optimized crystal structure of Sr2Tc2Te, as listed in Alexandria via LeMat-Bulk.

It has space group P4/mbm (No. 127), with a = 8.800 Å, b = 8.800 Å, c = 4.263 Å, α = 90.00°, β = 90.00° and γ = 90.00°. The inequivalent atoms are Sr at (0.181, 0.319, 0.000), Tc at (0.084, 0.584, 0.500) and Te at (0.000, 0.000, 0.000).

(2)
First-principles (PBE-GGA) data for an optimized crystal structure of Sr2Tc2Te, as listed in Alexandria via LeMat-Bulk.

It has space group I4/mmm (No. 139), with a = 3.681 Å, b = 3.681 Å, c = 19.495 Å, α = 90.00°, β = 90.00° and γ = 90.00°. The inequivalent atoms are Sr at (0.000, 0.000, 0.107), Tc at (0.000, 0.500, 0.250) and Te at (0.000, 0.000, 0.500).

Relative energies, in meV per atom, with the most stable structure set to zero: (1) 683; (2) 0.

(1)
First-principles (PBE-GGA) data for an optimized crystal structure of SrTiTc2, as listed in Alexandria via LeMat-Bulk.

It has space group I4_1/amd (No. 141, origin choice 2), with a = 4.900 Å, b = 4.900 Å, c = 17.091 Å, α = 90.00°, β = 90.00° and γ = 90.00°. The inequivalent atoms are Sr at (0.000, 0.250, 0.375), Ti at (0.000, 0.250, 0.875) and Tc at (0.000, 0.000, 0.000).

(2)
First-principles (PBE-GGA) data for an optimized crystal structure of SrTiTc2, as listed in Alexandria via LeMat-Bulk.

It has space group Fm-3m (No. 225), with a = 6.625 Å, b = 6.625 Å, c = 6.625 Å, α = 90.00°, β = 90.00° and γ = 90.00°. The inequivalent atoms are Sr at (0.000, 0.000, 0.000), Ti at (0.000, 0.000, 0.500) and Tc at (0.250, 0.250, 0.250).

Relative energies, in meV per atom, with the most stable structure set to zero: (1) 100; (2) 0.

(1)
First-principles (PBE-GGA) data for an optimized crystal structure of SrZr2TiTc, as listed in Alexandria via LeMat-Bulk.

It has space group P4/mmm (No. 123), with a = 5.217 Å, b = 5.217 Å, c = 4.608 Å, α = 90.00°, β = 90.00° and γ = 90.00°. The inequivalent atoms are Sr at (0.000, 0.000, 0.000), Zr at (0.000, 0.500, 0.500), Ti at (0.500, 0.500, 0.500) and Tc at (0.500, 0.500, 0.000).

(2)
First-principles (PBE-GGA) data for an optimized crystal structure of SrZr2TiTc, as listed in Alexandria via LeMat-Bulk.

It has space group P4/mmm (No. 123), with a = 5.043 Å, b = 5.043 Å, c = 4.485 Å, α = 90.00°, β = 90.00° and γ = 90.00°. The inequivalent atoms are Sr at (0.000, 0.000, 0.000), Zr at (0.000, 0.500, 0.000), Ti at (0.000, 0.000, 0.500) and Tc at (0.500, 0.500, 0.500).

Relative energies, in meV per atom, with the most stable structure set to zero: (1) 0; (2) 1475.

(1)
First-principles (PBE-GGA) data for an optimized crystal structure of SrTlTc2, as listed in Alexandria via LeMat-Bulk.

It has space group R3m (No. 160, hexagonal axes), with a = 4.1790 Å, b = 4.1790 Å, c = 20.4474 Å, α = 90.00°, β = 90.00° and γ = 120.00°. The inequivalent atoms are Sr at (0.0000, 0.0000, 0.0000), Tl at (0.0000, 0.0000, 0.2109), Tc at (0.0000, 0.0000, 0.4591) and Tc at (0.0000, 0.0000, 0.7810).

(2)
First-principles (PBE-GGA) data for an optimized crystal structure of SrTlTc2, as listed in Alexandria via LeMat-Bulk.

It has space group I4/mmm (No. 139), with a = 4.466 Å, b = 4.466 Å, c = 8.619 Å, α = 90.00°, β = 90.00° and γ = 90.00°. The inequivalent atoms are Sr at (0.000, 0.000, 0.000), Tl at (0.000, 0.000, 0.500) and Tc at (0.000, 0.500, 0.250).

(3)
First-principles (PBE-GGA) data for an optimized crystal structure of SrTlTc2, as listed in Alexandria via LeMat-Bulk.

It has space group I-42d (No. 122), with a = 8.136 Å, b = 8.136 Å, c = 5.687 Å, α = 90.00°, β = 90.00° and γ = 90.00°. The inequivalent atoms are Sr at (0.000, 0.000, 0.000), Tl at (0.000, 0.000, 0.500) and Tc at (0.211, 0.250, 0.625).

Relative energies, in meV per atom, with the most stable structure set to zero: (1) 0; (2) 752; (3) 1012.

(1)
First-principles (PBE-GGA) data for an optimized crystal structure of SrTlTc2, as listed in Alexandria via LeMat-Bulk.

It has space group C2/m (No. 12), with a = 6.093 Å, b = 9.984 Å, c = 2.883 Å, α = 90.00°, β = 112.56° and γ = 90.00°. The inequivalent atoms are Sr at (0.000, 0.000, 0.000), Tl at (0.000, 0.500, 0.000) and Tc at (0.250, 0.250, 0.500).

(2)
First-principles (PBE-GGA) data for an optimized crystal structure of SrTlTc2, as listed in Alexandria via LeMat-Bulk.

It has space group Pmmm (No. 47), with a = 3.594 Å, b = 4.776 Å, c = 4.794 Å, α = 90.00°, β = 90.00° and γ = 90.00°. The inequivalent atoms are Sr at (0.000, 0.000, 0.000), Tl at (0.500, 0.000, 0.500), Tc at (0.000, 0.500, 0.500) and Tc at (0.500, 0.500, 0.000).

(3)
First-principles (PBE-GGA) data for an optimized crystal structure of SrTlTc2, as listed in Alexandria via LeMat-Bulk.

It has space group F-43m (No. 216), with a = 6.885 Å, b = 6.885 Å, c = 6.885 Å, α = 90.00°, β = 90.00° and γ = 90.00°. The inequivalent atoms are Sr at (0.000, 0.000, 0.000), Tl at (0.250, 0.250, 0.250), Tc at (0.000, 0.000, 0.500) and Tc at (0.250, 0.250, 0.750).

Relative energies, in meV per atom, with the most stable structure set to zero: (1) 162; (2) 173; (3) 0.

(1)
First-principles (PBE-GGA) data for an optimized crystal structure of SrTlTc2, as listed in Alexandria via LeMat-Bulk.

It has space group P4/mmm (No. 123), with a = 4.489 Å, b = 4.489 Å, c = 4.232 Å, α = 90.00°, β = 90.00° and γ = 90.00°. The inequivalent atoms are Sr at (0.000, 0.000, 0.000), Tl at (0.500, 0.500, 0.000) and Tc at (0.000, 0.500, 0.500).

(2)
First-principles (PBE-GGA) data for an optimized crystal structure of SrTlTc2, as listed in Alexandria via LeMat-Bulk.

It has space group Imm2 (No. 44), with a = 3.782 Å, b = 5.157 Å, c = 9.571 Å, α = 90.00°, β = 90.00° and γ = 90.00°. The inequivalent atoms are Sr at (0.000, 0.000, 0.000), Tl at (0.000, 0.500, 0.212), Tc at (0.000, 0.000, 0.429) and Tc at (0.000, 0.500, 0.782).

(3)
First-principles (PBE-GGA) data for an optimized crystal structure of SrTlTc2, as listed in Alexandria via LeMat-Bulk.

It has space group Cmmm (No. 65), with a = 3.554 Å, b = 4.788 Å, c = 9.616 Å, α = 90.00°, β = 90.00° and γ = 90.00°. The inequivalent atoms are Sr at (0.000, 0.000, 0.000), Tl at (0.000, 0.000, 0.500) and Tc at (0.000, 0.500, 0.270).

Relative energies, in meV per atom, with the most stable structure set to zero: (1) 418; (2) 0; (3) 513.

(1)
First-principles (PBE-GGA) data for an optimized crystal structure of SrTlTc2, as listed in Alexandria via LeMat-Bulk.

It has space group R-3m (No. 166, hexagonal axes), with a = 3.1270 Å, b = 3.1270 Å, c = 29.1716 Å, α = 90.00°, β = 90.00° and γ = 120.00°. The inequivalent atoms are Sr at (0.0000, 0.0000, 0.0000), Tl at (0.0000, 0.0000, 0.5000) and Tc at (0.0000, 0.0000, 0.2430).

(2)
First-principles (PBE-GGA) data for an optimized crystal structure of SrTlTc2, as listed in Alexandria via LeMat-Bulk.

It has space group Pmmm (No. 47), with a = 3.344 Å, b = 4.185 Å, c = 6.738 Å, α = 90.00°, β = 90.00° and γ = 90.00°. The inequivalent atoms are Sr at (0.000, 0.000, 0.000), Tl at (0.000, 0.000, 0.500) and Tc at (0.500, 0.500, 0.334).

Relative energies, in meV per atom, with the most stable structure set to zero: (1) 359; (2) 0.

(1)
First-principles (PBE-GGA) data for an optimized crystal structure of SrTlTc2, as listed in Alexandria via LeMat-Bulk.

It has space group Immm (No. 71), with a = 3.353 Å, b = 5.080 Å, c = 9.881 Å, α = 90.00°, β = 90.00° and γ = 90.00°. The inequivalent atoms are Sr at (0.000, 0.000, 0.000), Tl at (0.000, 0.000, 0.500) and Tc at (0.000, 0.500, 0.232).

(2)
First-principles (PBE-GGA) data for an optimized crystal structure of SrTlTc2, as listed in Alexandria via LeMat-Bulk.

It has space group P4mm (No. 99), with a = 3.207 Å, b = 3.207 Å, c = 8.466 Å, α = 90.00°, β = 90.00° and γ = 90.00°. The inequivalent atoms are Sr at (0.000, 0.000, 0.000), Tl at (0.500, 0.500, 0.679), Tc at (0.000, 0.000, 0.427) and Tc at (0.500, 0.500, 0.287).

Relative energies, in meV per atom, with the most stable structure set to zero: (1) 748; (2) 0.

(1)
First-principles (PBE-GGA) data for an optimized crystal structure of SrTlTc2, as listed in Alexandria via LeMat-Bulk.

It has space group C2/m (No. 12), with a = 10.035 Å, b = 3.799 Å, c = 5.700 Å, α = 90.00°, β = 108.46° and γ = 90.00°. The inequivalent atoms are Sr at (0.000, 0.000, 0.000), Tl at (0.000, 0.500, 0.500) and Tc at (0.240, 0.000, 0.614).

(2)
First-principles (PBE-GGA) data for an optimized crystal structure of SrTlTc2, as listed in Alexandria via LeMat-Bulk.

It has space group Fm-3m (No. 225), with a = 6.969 Å, b = 6.969 Å, c = 6.969 Å, α = 90.00°, β = 90.00° and γ = 90.00°. The inequivalent atoms are Sr at (0.000, 0.000, 0.000), Tl at (0.000, 0.000, 0.500) and Tc at (0.250, 0.250, 0.250).

(3)
First-principles (PBE-GGA) data for an optimized crystal structure of SrTlTc2, as listed in Alexandria via LeMat-Bulk.

It has space group P4/mmm (No. 123), with a = 3.037 Å, b = 3.037 Å, c = 9.149 Å, α = 90.00°, β = 90.00° and γ = 90.00°. The inequivalent atoms are Sr at (0.000, 0.000, 0.000), Tl at (0.000, 0.000, 0.500) and Tc at (0.500, 0.500, 0.278).

Relative energies, in meV per atom, with the most stable structure set to zero: (1) 0; (2) 528; (3) 574.

(1)
First-principles (PBE-GGA) data for an optimized crystal structure of SrTlTc3, as listed in Alexandria via LeMat-Bulk.

It has space group Pm-3m (No. 221), with a = 5.186 Å, b = 5.186 Å, c = 5.186 Å, α = 90.00°, β = 90.00° and γ = 90.00°. The inequivalent atoms are Sr at (0.000, 0.000, 0.000), Tl at (0.500, 0.500, 0.500) and Tc at (0.000, 0.500, 0.500).

(2)
First-principles (PBE-GGA) data for an optimized crystal structure of SrTlTc3, as listed in Alexandria via LeMat-Bulk.

It has space group Pm-3m (No. 221), with a = 5.052 Å, b = 5.052 Å, c = 5.052 Å, α = 90.00°, β = 90.00° and γ = 90.00°. The inequivalent atoms are Sr at (0.000, 0.000, 0.000), Tl at (0.500, 0.500, 0.500) and Tc at (0.000, 0.000, 0.500).

Relative energies, in meV per atom, with the most stable structure set to zero: (1) 0; (2) 764.